1.
Material: ScInSi
Method: DFT, PBE
State: optimized geometry

Properties
Its calculated density is 4.761 g cm⁻³. The symmetry is No. 156. The magnetic moment comes out at 0.0 Bohr magnetons per cell.

Cell lengths 4.141, 4.141, 4.412 Å; angles 90.00, 90.00, 120.00 degrees
Sites, in units of the cell vectors:
Sc (0.000, 0.000, 0.000)
In (0.333, 0.667, 0.564)
Si (0.667, 0.333, 0.296)

2.
Material: ScInSi
Method: DFT, PBE
State: optimized geometry

Properties
Its calculated density is 4.402 g cm⁻³. The symmetry is No. 216. The magnetic moment comes out at 0.0 Bohr magnetons per cell.

Cell lengths 4.645, 4.645, 4.645 Å; angles 60.00, 60.00, 60.00 degrees
Sites, in units of the cell vectors:
Sc (0.000, 0.000, 0.000)
In (0.250, 0.250, 0.250)
Si (0.750, 0.750, 0.750)

3.
Material: ScInSi
Method: DFT, PBE
State: optimized geometry

Properties
Its calculated density is 4.735 g cm⁻³. The symmetry is No. 216. The magnetic moment comes out at 0.0 Bohr magnetons per cell.

Cell lengths 4.533, 4.533, 4.533 Å; angles 60.00, 60.00, 60.00 degrees
Sites, in units of the cell vectors:
Sc (0.000, 0.000, 0.000)
In (0.500, 0.500, 0.500)
Si (0.250, 0.250, 0.250)

What should be chosen as the most stable of them? Choose 1.